No. 1
{
  "formula": "Na4SrCaSi2",
  "functional": "PBE-GGA",
  "state": "optimized geometry",
  "cell": [[5.2815, 0.0000, 0.0000], [0.0000, 5.2815, 0.0000], [0.0000, 0.0000, 7.4978]],
  "species": ["Na", "Na", "Na", "Na", "Sr", "Ca", "Si", "Si"],
  "fractional_positions": [[0.5000, 0.0000, 0.2693], [0.0000, 0.5000, 0.7307], [0.5000, 0.5000, 0.0000], [0.0000, 0.0000, 0.5000], [0.0000, 0.0000, 0.0000], [0.5000, 0.5000, 0.5000], [0.5000, 0.0000, 0.7380], [0.0000, 0.5000, 0.2620]],
  "dos_ef_per_ev_cell": 6.31,
  "volume_a3_per_atom": 26.1,
  "dft_energy_ev_per_atom": -2.53
}


No. 2
{
  "formula": "NaSrCa2Si",
  "functional": "PBE-GGA",
  "state": "optimized geometry",
  "cell": [[-4.4699, 1.1714, -3.5077], [-0.3246, -5.6057, -1.4584], [-3.9114, -0.9847, 4.6554]],
  "species": ["Sr", "Ca", "Ca", "Si", "Na"],
  "fractional_positions": [[0.0000, 0.0000, 0.5000], [0.0000, 0.5000, 0.0000], [0.5000, 0.0000, 0.0000], [0.0000, 0.0000, 0.0000], [0.5000, 0.5000, 0.5000]],
  "dos_ef_per_ev_cell": 4.71,
  "volume_a3_per_atom": 41.5,
  "dft_energy_ev_per_atom": -2.61
}


No. 3
{
  "formula": "NaCaTa2Si",
  "functional": "PBE-GGA",
  "state": "optimized geometry",
  "cell": [[4.9288, 0.0000, 0.0000], [0.0000, 4.5527, 0.0000], [0.0000, 0.0000, 4.9288]],
  "species": ["Na", "Ca", "Si", "Ta", "Ta"],
  "fractional_positions": [[0.0000, 0.5000, 0.0000], [0.0000, 0.0000, 0.0000], [0.5000, 0.5000, 0.5000], [0.0000, 0.0000, 0.5000], [0.5000, 0.0000, 0.0000]],
  "dos_ef_per_ev_cell": 4.78,
  "volume_a3_per_atom": 22.1,
  "dft_energy_ev_per_atom": -4.16
}


No. 4
{
  "formula": "Na2CaSiTc",
  "functional": "PBE-GGA",
  "state": "optimized geometry",
  "cell": [[5.4278, 0.0000, 0.0000], [0.0000, 5.3277, 0.0000], [0.0000, 0.0000, 5.4278]],
  "species": ["Na", "Na", "Ca", "Si", "Tc"],
  "fractional_positions": [[0.0000, 0.0000, 0.5000], [0.5000, 0.0000, 0.0000], [0.0000, 0.5000, 0.0000], [0.5000, 0.5000, 0.5000], [0.0000, 0.0000, 0.0000]],
  "dos_ef_per_ev_cell": 5.59,
  "volume_a3_per_atom": 31.4,
  "dft_energy_ev_per_atom": -2.77
}


No. 5
{
  "formula": "Na2CaSiTe4",
  "functional": "PBE-GGA",
  "state": "optimized geometry",
  "cell": [[-8.3763, 2.7843, 0.0161], [-0.9620, -2.9848, -8.2511], [3.7315, -5.3112, 7.0529]],
  "species": ["Na", "Na", "Na", "Na", "Ca", "Ca", "Si", "Si", "Te", "Te", "Te", "Te", "Te", "Te", "Te", "Te"],
  "fractional_positions": [[0.5000, 0.0000, 0.0000], [0.5000, 0.0000, 0.5000], [0.0000, 0.0000, 0.5000], [0.5000, 0.5000, 0.0000], [0.0000, 0.5000, 0.0000], [0.0000, 0.5000, 0.5000], [0.5000, 0.5000, 0.5000], [0.0000, 0.0000, 0.0000], [0.2337, 0.7689, 0.0012], [0.7311, 0.2663, 0.4988], [0.2689, 0.7336, 0.5012], [0.7664, 0.2311, 0.9988], [0.7496, 0.7500, 0.9552], [0.7500, 0.7504, 0.5448], [0.2500, 0.2496, 0.4552], [0.2504, 0.2500, 0.0448]],
  "dos_ef_per_ev_cell": 7.20,
  "volume_a3_per_atom": 29.8,
  "dft_energy_ev_per_atom": -3.47
}


No. 6
{
  "formula": "NaCaSm",
  "functional": "PBE-GGA",
  "state": "optimized geometry",
  "cell": [[3.6916, 0.0000, 0.0000], [0.0000, 3.6916, 0.0000], [0.0000, 0.0000, 16.4108]],
  "species": ["Sm", "Sm", "Ca", "Ca", "Na", "Na"],
  "fractional_positions": [[0.0000, 0.5000, 0.5732], [0.5000, 0.0000, 0.4268], [0.0000, 0.5000, 0.2584], [0.5000, 0.0000, 0.7416], [0.5000, 0.0000, 0.0830], [0.0000, 0.5000, 0.9170]],
  "dos_ef_per_ev_cell": 7.17,
  "volume_a3_per_atom": 37.3,
  "e_above_lowest_polymorph_mev_per_atom": 0,
  "dft_energy_ev_per_atom": -2.64,
  "e_form_mev_per_atom": 40.5
}


No. 7
{
  "formula": "NaCaSm",
  "functional": "PBE-GGA",
  "state": "optimized geometry",
  "cell": [[-0.6622, 3.6389, 0.0530], [-1.8036, -2.2421, 2.3244], [6.7729, 1.1399, 6.3548]],
  "species": ["Na", "Ca", "Sm"],
  "fractional_positions": [[0.3333, 0.6667, 0.6717], [0.6667, 0.3333, 0.3249], [0.0000, 0.0000, 0.0034]],
  "dos_ef_per_ev_cell": 3.46,
  "volume_a3_per_atom": 37.0,
  "e_above_lowest_polymorph_mev_per_atom": 100,
  "dft_energy_ev_per_atom": -2.54,
  "e_form_mev_per_atom": 140.6
}


No. 8
{
  "formula": "NaCaSm",
  "functional": "PBE-GGA",
  "state": "optimized geometry",
  "cell": [[-1.2908, -2.9114, -1.6923], [-1.5929, -1.0690, 3.0540], [-5.5320, 6.3163, -2.8040]],
  "species": ["Na", "Ca", "Sm"],
  "fractional_positions": [[0.3363, 0.3363, 0.6727], [0.6627, 0.6627, 0.3254], [0.0010, 0.0010, 0.0019]],
  "dos_ef_per_ev_cell": 3.11,
  "volume_a3_per_atom": 36.8,
  "e_above_lowest_polymorph_mev_per_atom": 124,
  "dft_energy_ev_per_atom": -2.52,
  "e_form_mev_per_atom": 164.5
}


No. 9
{
  "formula": "NaCaSm2",
  "functional": "PBE-GGA",
  "state": "optimized geometry",
  "cell": [[-1.0198, -0.0202, -3.4245], [1.5827, -2.2065, -2.3224], [-8.8204, -10.0850, 0.8220]],
  "species": ["Na", "Ca", "Sm", "Sm"],
  "fractional_positions": [[0.0000, 0.0000, 0.0000], [0.5000, 0.5000, 0.5000], [0.0886, 0.0886, 0.7343], [0.9114, 0.9114, 0.2657]],
  "dos_ef_per_ev_cell": 5.84,
  "volume_a3_per_atom": 36.7,
  "dft_energy_ev_per_atom": -2.95,
  "e_form_mev_per_atom": 240.9
}


No. 10
{
  "formula": "NaCa3Sm3Te8",
  "functional": "PBE-GGA",
  "state": "optimized geometry",
  "cell": [[-1.0819, -8.8793, 0.3527], [8.2058, 3.5358, 0.5811], [-5.7876, 0.9748, 6.7860]],
  "species": ["Na", "Ca", "Ca", "Ca", "Sm", "Sm", "Sm", "Te", "Te", "Te", "Te", "Te", "Te", "Te", "Te"],
  "fractional_positions": [[0.0000, 0.0000, 0.5000], [0.0000, 0.0000, 0.0000], [0.0000, 0.5000, 0.0000], [0.5000, 0.5000, 0.0000], [0.5000, 0.0000, 0.5000], [0.5000, 0.5000, 0.5000], [0.0000, 0.5000, 0.5000], [0.2504, 0.5008, 0.2512], [0.7496, 0.4992, 0.7488], [0.7460, 0.4919, 0.2516], [0.2540, 0.5081, 0.7484], [0.7463, 0.0055, 0.2512], [0.2537, 0.9945, 0.7488], [0.2592, 0.0055, 0.2512], [0.7408, 0.9945, 0.7488]],
  "volume_a3_per_atom": 33.9,
  "dft_energy_ev_per_atom": -4.52
}


No. 11
{
  "formula": "NaCaSm2Te4",
  "functional": "PBE-GGA",
  "state": "optimized geometry",
  "cell": [[4.4523, 0.0000, 0.0000], [0.0000, 7.8833, -0.2268], [0.0000, 2.7059, 7.2232]],
  "species": ["Na", "Ca", "Sm", "Sm", "Te", "Te", "Te", "Te"],
  "fractional_positions": [[0.0000, 0.5000, 0.5000], [0.5000, 0.5000, 0.0000], [0.0000, 0.0000, 0.0000], [0.5000, 0.0000, 0.5000], [0.0000, 0.7513, 0.7496], [0.0000, 0.2487, 0.2504], [0.5000, 0.7545, 0.2473], [0.5000, 0.2455, 0.7527]],
  "dos_ef_per_ev_cell": 2.75,
  "volume_a3_per_atom": 32.0,
  "dft_energy_ev_per_atom": -4.59
}


No. 12
{
  "formula": "NaCaSmTl",
  "functional": "PBE-GGA",
  "state": "optimized geometry",
  "cell": [[-2.4259, 1.7394, 4.6612], [-3.4330, -3.3577, 2.7527], [1.5285, -2.1276, 4.8759]],
  "species": ["Na", "Tl", "Ca", "Sm"],
  "fractional_positions": [[0.0000, 0.0000, 0.0000], [0.5000, 0.5000, 0.5000], [0.2500, 0.2500, 0.2500], [0.7500, 0.7500, 0.7500]],
  "dos_ef_per_ev_cell": 3.18,
  "volume_a3_per_atom": 30.0,
  "dft_energy_ev_per_atom": -2.75,
  "e_form_mev_per_atom": -145.0
}


no.,total magnetic moment (μB/f.u.)
1,0.00
2,0.06
3,0.00
4,2.14
5,0.00
6,0.00
7,0.00
8,0.00
9,0.00
10,0.00
11,0.00
12,0.00